# 1
Computed, not measured: a relaxed AgSeCl2 crystal at the PBE level of DFT.

The structure in CIF format:
```
data_AgSeCl2
_cell_length_a 2.9492
_cell_length_b 2.9492
_cell_length_c 11.7793
_cell_angle_alpha 90.00
_cell_angle_beta 90.00
_cell_angle_gamma 90.00
_space_group_name_H-M_alt 'P 4/m m m'
_space_group_IT_number 123
_space_group_name_Hall '-P 4 2'
loop_
_atom_site_label
_atom_site_type_symbol
_atom_site_fract_x
_atom_site_fract_y
_atom_site_fract_z
_atom_site_occupancy
Ag1 Ag 0.0000 0.0000 0.0000 1
Se1 Se 0.0000 0.0000 0.5000 1
Cl1 Cl 0.5000 0.5000 0.1632 1
```

Properties
E above lowest polymorph = 130 kJ/mol of formula units

***

# 2
Computed, not measured: a relaxed Ag2SeCl crystal at the PBE level of DFT.

The structure in CIF format:
```
data_Ag2SeCl
_cell_length_a 6.0815
_cell_length_b 6.0815
_cell_length_c 11.8506
_cell_angle_alpha 90.00
_cell_angle_beta 90.00
_cell_angle_gamma 90.00
_space_group_name_H-M_alt 'I -4 2 d'
_space_group_IT_number 122
_space_group_name_Hall 'I -4 2bw'
loop_
_atom_site_label
_atom_site_type_symbol
_atom_site_fract_x
_atom_site_fract_y
_atom_site_fract_z
_atom_site_occupancy
Ag1 Ag 0.2338 0.2500 0.1250 1
Se1 Se 0.0000 0.0000 0.0000 1
Cl1 Cl 0.0000 0.0000 0.5000 1
```

Properties
E above lowest polymorph = 36 kJ/mol of formula units

***

# 3
Computed, not measured: a relaxed AgSe2Cl6 crystal at the PBE level of DFT.

The structure in CIF format:
```
data_AgSe2Cl6
_cell_length_a 17.8329
_cell_length_b 10.5030
_cell_length_c 7.4962
_cell_angle_alpha 90.00
_cell_angle_beta 109.24
_cell_angle_gamma 90.00
_space_group_name_H-M_alt 'C 1 2/c 1'
_space_group_IT_number 15
loop_
_space_group_symop_operation_xyz
'x,y,z'
'-x,-y,-z'
'-x,y,-z+1/2'
'x,-y,z+1/2'
'x+1/2,y+1/2,z'
'-x+1/2,-y+1/2,-z'
'-x+1/2,y+1/2,-z+1/2'
'x+1/2,-y+1/2,z+1/2'
loop_
_atom_site_label
_atom_site_type_symbol
_atom_site_fract_x
_atom_site_fract_y
_atom_site_fract_z
_atom_site_occupancy
Ag1 Ag 0.0000 0.0011 0.2500 1
Se1 Se 0.0757 0.4886 0.9761 1
Cl1 Cl 0.0900 0.3063 0.5192 1
Cl2 Cl 0.0992 0.0008 0.0779 1
Cl3 Cl 0.1975 0.4235 0.1217 1
```

Properties
E above lowest polymorph = 61 kJ/mol of formula units

***

# 4
Computed, not measured: a relaxed Ag4SeCl crystal at the PBE level of DFT.

The structure in CIF format:
```
data_Ag4SeCl
_cell_length_a 4.4321
_cell_length_b 7.1109
_cell_length_c 9.0001
_cell_angle_alpha 89.74
_cell_angle_beta 83.07
_cell_angle_gamma 75.26
_space_group_name_H-M_alt 'P -1'
_space_group_IT_number 2
loop_
_space_group_symop_operation_xyz
'x,y,z'
'-x,-y,-z'
loop_
_atom_site_label
_atom_site_type_symbol
_atom_site_fract_x
_atom_site_fract_y
_atom_site_fract_z
_atom_site_occupancy
Ag1 Ag 0.0924 0.2973 0.0318 1
Ag2 Ag 0.1684 0.2716 0.3753 1
Ag3 Ag 0.2103 0.0179 0.6117 1
Ag4 Ag 0.3799 0.6842 0.4051 1
Se1 Se 0.0633 0.3974 0.7468 1
Cl1 Cl 0.3533 0.8744 0.8684 1
```

Properties
E above lowest polymorph = 0 kJ/mol of formula units

***

no.,ΔE_f (raw) (eV/atom)
1,0.204
2,-0.143
3,-0.226
4,-0.126